Entry 1:
This record from Alexandria describes a relaxed structure of YVAu2. The functional is PBE-GGA.

Structure (POSCAR):
```
YVAu2
1.0
-3.589 -2.872 -1.091
1.384 -0.012 -4.517
3.968 -8.374 -1.233
Y Au V
2 4 2
direct
0.000 0.000 0.000
0.750 0.250 0.500
0.550 0.125 0.250
0.200 0.625 0.250
0.375 0.450 0.750
0.875 0.800 0.750
0.500 0.500 0.000
0.250 0.750 0.500
```

Results
Space group: I-42d (122)
Density of states at the Fermi level, states/eV per atom: 1.175
Volume, Å³/cell: 194.9
ΔE_f, kJ/mol of atoms: 13.5
Energy above the most stable polymorph in this dataset, eV/atom: 0.467
Magnetization, μB/f.u.: 2.73

=====

Entry 2:
This record from Alexandria describes a relaxed structure of Nb3RuC. The functional is PBE-GGA.

Structure (POSCAR):
```
Nb3RuC
1.0
-2.312 3.559 -1.078
1.192 -0.915 -5.574
-5.633 -2.970 2.273
Nb Ru C
6 2 2
direct
0.500 0.262 0.000
0.000 0.860 0.719
0.500 0.738 0.000
0.500 0.500 0.500
0.000 0.140 0.281
0.500 0.000 0.500
0.000 0.619 0.237
0.000 0.381 0.763
0.500 0.120 0.241
0.500 0.880 0.759
```

Results
Space group: Cmmm (65)
Density of states at the Fermi level, states/eV per atom: 0.916
Volume, Å³/cell: 154.6
ΔE_f, kJ/mol of atoms: -10.9
Energy above the most stable polymorph in this dataset, eV/atom: 0.000
Magnetization, μB/f.u.: 0.00

=====

Entry 3:
This record from Alexandria describes a relaxed structure of Mg2Os. The functional is PBE-GGA.

Structure (POSCAR):
```
Mg2Os
1.0
3.707 0.240 -2.689
-4.159 0.824 -1.749
0.540 5.313 1.220
Mg Os
4 2
direct
0.000 0.000 0.000
0.000 0.000 0.500
0.333 0.667 0.750
0.667 0.333 0.250
0.333 0.667 0.250
0.667 0.333 0.750
```

Results
Space group: P6_3/mmc (194)
Density of states at the Fermi level, states/eV per atom: 0.775
Volume, Å³/cell: 99.8
ΔE_f, kJ/mol of atoms: 35.8
Magnetization, μB/f.u.: 0.00

=====

Entry 4:
This record from Alexandria describes a relaxed structure of CaCdIr2F. The functional is PBE-GGA.

Structure (POSCAR):
```
CaCdIr2F
1.0
-0.624 2.737 -3.483
-3.622 1.886 2.131
2.693 3.028 1.896
Ca Ir F Cd
1 2 1 1
direct
0.500 0.500 0.500
0.000 0.000 0.500
0.500 0.000 0.000
0.000 0.000 0.000
0.000 0.500 0.000
```

Results
Space group: P4/mmm (123)
Density of states at the Fermi level, states/eV per atom: 0.673
Volume, Å³/cell: 92.2
Magnetization, μB/f.u.: 0.00
Raw formation energy, eV per atom: 0.2834

=====

Entry 5:
This record from Alexandria describes a relaxed structure of PmHoI3. The functional is PBE-GGA.

Structure (POSCAR):
```
PmHoI3
1.0
-2.387 2.432 -2.349
-7.700 -6.802 -2.867
-10.614 -0.664 6.451
Pm Ho I
2 2 6
direct
0.073 0.102 0.752
0.927 0.898 0.248
0.427 0.171 0.974
0.573 0.829 0.026
0.635 0.197 0.534
0.365 0.803 0.466
0.187 0.762 0.863
0.813 0.238 0.137
0.921 0.387 0.770
0.079 0.613 0.230
```

Results
Space group: C2/m (12)
Density of states at the Fermi level, states/eV per atom: 0.173
Volume, Å³/cell: 461.7
Energy above the most stable polymorph in this dataset, eV/atom: 0.000
Magnetization, μB/f.u.: 0.00
Raw formation energy, eV per atom: -1.0964

=====

Entry 6:
This record from Alexandria describes a relaxed structure of ScGa2BSe. The functional is PBE-GGA.

Structure (POSCAR):
```
ScGa2BSe
1.0
5.356 0.000 0.000
0.000 4.961 0.000
0.000 0.000 5.356
Sc B Ga Se
1 1 2 1
direct
0.000 0.000 0.000
0.500 0.500 0.500
0.000 0.000 0.500
0.500 0.000 0.000
0.000 0.500 0.000
```

Results
Space group: P4/mmm (123)
Density of states at the Fermi level, states/eV per atom: 0.986
Volume, Å³/cell: 142.3
Energy above the most stable polymorph in this dataset, eV/atom: 0.009
Magnetization, μB/f.u.: 0.43
Raw formation energy, eV per atom: 1.0028

=====

Entry 7:
This record from Alexandria describes a relaxed structure of CdAg5Au3. The functional is PBE-GGA.

Structure (POSCAR):
```
CdAg5Au3
1.0
-2.504 3.639 -3.793
-4.836 -3.135 -0.828
-6.132 5.551 7.860
Cd Ag Au
2 10 6
direct
0.057 0.057 0.734
0.943 0.943 0.266
0.981 0.418 0.331
0.331 0.669 0.000
0.713 0.713 0.125
0.473 0.473 0.296
0.527 0.527 0.704
0.287 0.287 0.875
0.418 0.981 0.331
0.669 0.331 0.000
0.019 0.582 0.669
0.582 0.019 0.669
0.753 0.753 0.867
0.679 0.679 0.480
0.000 0.000 0.000
0.000 0.000 0.500
0.247 0.247 0.133
0.321 0.321 0.520
```

Results
Space group: C2/m (12)
Density of states at the Fermi level, states/eV per atom: 0.349
Volume, Å³/cell: 381.8
ΔE_f, kJ/mol of atoms: 15.5
Magnetization, μB/f.u.: 0.00

=====

Entry 8:
This record from Alexandria describes a relaxed structure of BaMg14Sn. The functional is PBE-GGA.

Structure (POSCAR):
```
BaMg14Sn
1.0
3.274 -5.870 0.000
3.274 5.870 0.000
0.000 0.000 10.534
Ba Mg Sn
1 14 1
direct
0.322 0.678 0.500
0.830 0.170 0.000
0.332 0.668 0.000
0.320 0.174 0.500
0.342 0.173 0.000
0.826 0.680 0.500
0.827 0.658 0.000
0.170 0.327 0.238
0.170 0.327 0.762
0.673 0.830 0.238
0.673 0.830 0.762
0.672 0.328 0.265
0.672 0.328 0.735
0.160 0.840 0.236
0.160 0.840 0.764
0.850 0.150 0.500
```

Results
Space group: Amm2 (38)
Density of states at the Fermi level, states/eV per atom: 0.596
Volume, Å³/cell: 404.8
ΔE_f, kJ/mol of atoms: 1.9
Energy above the most stable polymorph in this dataset, eV/atom: 0.000
Magnetization, μB/f.u.: 0.00

=====

Entry 9:
This record from Alexandria describes a relaxed structure of Pm8NdRh6. The functional is PBE-GGA.

Structure (POSCAR):
```
Pm8NdRh6
1.0
-3.797 -3.793 5.781
-3.491 -6.735 -2.164
3.541 -6.565 2.567
Pm Nd Rh
8 1 6
direct
0.222 0.552 0.890
0.110 0.778 0.448
0.448 0.110 0.778
0.665 0.665 0.665
0.335 0.335 0.335
0.552 0.890 0.222
0.890 0.222 0.552
0.778 0.448 0.110
0.000 0.000 0.000
0.057 0.390 0.723
0.277 0.943 0.610
0.610 0.277 0.943
0.390 0.723 0.057
0.723 0.057 0.390
0.943 0.610 0.277
```

Results
Space group: R-3 (148)
Density of states at the Fermi level, states/eV per atom: 0.779
Volume, Å³/cell: 385.0
ΔE_f, kJ/mol of atoms: -56.3
Magnetization, μB/f.u.: 0.00

=====

Entry 10:
This record from Alexandria describes a relaxed structure of NaHf2Nb3N6. The functional is PBE-GGA.

Structure (POSCAR):
```
NaHf2Nb3N6
1.0
3.171 0.000 0.000
0.000 6.356 0.129
-1.586 -1.935 6.691
Na Hf Nb N
1 2 3 6
direct
0.500 0.000 0.000
0.840 0.678 0.680
0.160 0.322 0.320
0.500 0.500 0.000
0.845 0.186 0.689
0.155 0.814 0.311
0.327 0.918 0.654
0.670 0.575 0.340
0.673 0.082 0.346
0.003 0.259 0.005
0.997 0.741 0.995
0.330 0.425 0.660
```

Results
Space group: C2/m (12)
Density of states at the Fermi level, states/eV per atom: 0.274
Volume, Å³/cell: 135.7
Magnetization, μB/f.u.: 0.00
Raw formation energy, eV per atom: -1.1897

=====

Entry 11:
This record from Alexandria describes a relaxed structure of Pa2AuC. The functional is PBE-GGA.

Structure (POSCAR):
```
Pa2AuC
1.0
-1.203 2.826 1.561
-2.041 -1.800 -2.113
-0.904 -5.608 5.651
Pa Au C
2 1 1
direct
0.542 0.271 0.813
0.458 0.729 0.187
0.000 0.500 0.500
0.000 0.000 0.000
```

Results
Space group: R-3m (166)
Density of states at the Fermi level, states/eV per atom: 0.978
Volume, Å³/cell: 79.8
ΔE_f, kJ/mol of atoms: -34.4
Energy above the most stable polymorph in this dataset, eV/atom: 0.010
Magnetization, μB/f.u.: 0.00

=====

Entry 12:
This record from Alexandria describes a relaxed structure of Cs3Ag2I2Cl4. The functional is PBE-GGA.

Structure (POSCAR):
```
Cs3Ag2I2Cl4
1.0
5.266 0.000 0.000
0.000 5.266 0.000
-2.633 -2.633 14.810
Cs Ag I Cl
3 2 2 4
direct
0.000 0.000 0.000
0.167 0.167 0.335
0.833 0.833 0.665
0.402 0.402 0.805
0.598 0.598 0.195
0.304 0.304 0.607
0.696 0.696 0.393
0.419 0.919 0.837
0.919 0.419 0.837
0.081 0.581 0.163
0.581 0.081 0.163
```

Results
Space group: I4/mmm (139)
Density of states at the Fermi level, states/eV per atom: 1.086
Volume, Å³/cell: 410.7
Magnetization, μB/f.u.: 0.00
Raw formation energy, eV per atom: -1.1547